Record 1
Density functional theory data (PBE) for a geometry-optimized SrMg3Rh structure.

Output
The electronic total energy is -3.00 eV/atom. The excess energy over the best structure of this formula in the dataset is 0.029 eV/atom. The total magnetic moment comes out at 0.00 μB/f.u.

a b c (Å): 5.890 6.227 7.400
angles (deg): 90.00 114.31 90.00
Fractional positions:
Mg1 0.278 0.694 0.070
Mg2 0.756 0.701 0.490
Mg3 0.187 0.948 0.414
Mg4 0.847 0.448 0.147
Mg5 0.278 0.201 0.070
Mg6 0.756 0.194 0.490
Rh1 0.121 0.948 0.744
Rh2 0.913 0.448 0.816
Sr1 0.708 0.948 0.902
Sr2 0.327 0.448 0.658



Record 2
Density functional theory data (PBE) for a geometry-optimized SrMg2Rh structure.

Output
The electronic total energy is -2.93 eV/atom. The total magnetic moment comes out at 0.00 μB/f.u.

a b c (Å): 5.317 5.317 9.481
angles (deg): 73.72 73.72 90.00
Fractional positions:
Sr1 0.250 0.750 0.500
Sr2 0.500 0.500 0.000
Mg1 0.875 0.119 0.750
Mg2 0.869 0.125 0.250
Mg3 0.375 0.131 0.750
Mg4 0.881 0.625 0.250
Rh1 0.000 0.000 0.000
Rh2 0.750 0.250 0.500



Q: Among the records above, which one has the highest electronic total energy?
A: SrMg2Rh



Q: Which value of total magnetic moment does entry 2 give?
A: 0.00 μB/f.u.



Q: Among the records above, which one has the highest electronic total energy?
A: SrMg2Rh



Q: What is the formula in the second record?
A: SrMg2Rh